Material: NaCeSm2S4
Method: DFT, PBE
State: optimized geometry

Output
DOS(E_F): 7.0 states/eV/cell
uncorrected formation energy: -1.91 eV per atom
M_tot: 1.13 Bohr magnetons per cell

abc: 6.969 4.017 7.011
angles: 90.00 109.24 90.00
Atoms (fractional coordinates):
Na1 0.000 0.000 0.000
Ce1 0.500 0.500 0.000
Sm1 0.000 0.500 0.500
Sm2 0.500 0.000 0.500
S1 0.248 0.000 0.748
S2 0.253 0.500 0.255
S3 0.747 0.500 0.745
S4 0.752 0.000 0.252